Record 1
Entry from the Alexandria database: a relaxed structure of SrNi2Pt (GGA-PBE).

Lattice parameters (Å, degrees): 5.064 5.064 5.064 132.43 132.43 69.55
Each line ends with the local moment (μB).
Atoms (fractional coordinates):
Ni (0.000, 0.000, 0.000)  0.46
Ni (0.250, 0.750, 0.500)  0.57
Pt (0.500, 0.500, 0.000)  0.11
Sr (0.750, 0.250, 0.500)  -0.02

Values from the calculation:
Space-group type ... I-4m2 (119)
VASP energy ... -4.621 eV per atom
Total moment ... 0.267 μB per atom
Calculated formation energy ... 199.9 meV per atom


Record 2
Entry from the Alexandria database: a relaxed structure of SrNi2Pt (GGA-PBE).

Lattice parameters (Å, degrees): 2.883 3.783 6.381 90.00 90.00 90.00
Atoms (fractional coordinates):
Ni (0.000, 0.000, 0.068)
Ni (0.000, 0.000, 0.432)
Pt (0.500, 0.500, 0.250)
Sr (0.500, 0.500, 0.750)

Values from the calculation:
Space-group type ... Pmmm (47)
VASP energy ... -4.727 eV per atom
Total moment ... 0.000 μB per atom
Calculated formation energy ... 94.5 meV per atom


Record 3
Entry from the Alexandria database: a relaxed structure of Sr8Ni2Pt (GGA-PBE).

Lattice parameters (Å, degrees): 6.454 9.258 9.261 120.07 89.99 90.02
Atoms (fractional coordinates):
Sr (0.256, 0.667, 0.333)
Sr (0.744, 0.333, 0.667)
Sr (0.755, 0.841, 0.158)
Sr (0.246, 0.158, 0.317)
Sr (0.246, 0.683, 0.841)
Sr (0.245, 0.159, 0.842)
Sr (0.754, 0.842, 0.683)
Sr (0.754, 0.317, 0.159)
Ni (0.242, 0.333, 0.667)
Ni (0.758, 0.667, 0.333)
Pt (0.000, 0.000, 0.000)

Values from the calculation:
Space-group type ... P-1 (2)
VASP energy ... -2.849 eV per atom
Total moment ... 0.000 μB per atom
Calculated formation energy ... -25.7 meV per atom


Record 4
Entry from the Alexandria database: a relaxed structure of Sr4NiPt (GGA-PBE).

Lattice parameters (Å, degrees): 6.528 6.528 6.528 60.00 60.00 60.00
Atoms (fractional coordinates):
Sr (0.876, 0.375, 0.375)
Sr (0.375, 0.375, 0.876)
Sr (0.375, 0.876, 0.375)
Sr (0.375, 0.375, 0.375)
Ni (0.750, 0.750, 0.750)
Pt (0.000, 0.000, 0.000)

Values from the calculation:
Space-group type ... F-43m (216)
VASP energy ... -2.213 eV per atom
Total moment ... 0.000 μB per atom
Calculated formation energy ... 879.0 meV per atom


Record 5
Entry from the Alexandria database: a relaxed structure of SrNiPt (GGA-PBE).

Lattice parameters (Å, degrees): 4.526 4.526 4.526 60.00 60.00 60.00
Each line ends with the local moment (μB).
Atoms (fractional coordinates):
Ni (0.750, 0.750, 0.750)  0.24
Pt (0.000, 0.000, 0.000)  0.04
Sr (0.500, 0.500, 0.500)  -0.01

Values from the calculation:
Space-group type ... F-43m (216)
VASP energy ... -4.507 eV per atom
Total moment ... 0.085 μB per atom
Calculated formation energy ... -5.6 meV per atom


Record 6
Entry from the Alexandria database: a relaxed structure of Sr2NiPt (GGA-PBE).

Lattice parameters (Å, degrees): 4.274 4.274 8.272 74.97 75.03 60.00
Atoms (fractional coordinates):
Sr (0.887, 0.651, 0.576)
Sr (0.718, 0.481, 0.083)
Ni (0.469, 0.232, 0.829)
Pt (0.136, 0.899, 0.830)

Values from the calculation:
Space-group type ... Cm (8)
VASP energy ... -4.277 eV per atom
Total moment ... 0.001 μB per atom
Calculated formation energy ... -480.4 meV per atom


Record 7
Entry from the Alexandria database: a relaxed structure of SrNi2Pt (GGA-PBE).

Lattice parameters (Å, degrees): 4.256 4.256 5.764 68.14 68.14 60.01
Atoms (fractional coordinates):
Ni (0.935, 0.935, 0.196)
Ni (0.248, 0.248, 0.256)
Pt (0.564, 0.564, 0.307)
Sr (0.753, 0.753, 0.741)

Values from the calculation:
Space-group type ... Cm (8)
VASP energy ... -5.141 eV per atom
Total moment ... 0.000 μB per atom
Calculated formation energy ... -319.3 meV per atom


Record 8
Entry from the Alexandria database: a relaxed structure of SrNi2Pt (GGA-PBE).

Lattice parameters (Å, degrees): 4.560 4.560 4.560 60.00 60.00 60.00
Atoms (fractional coordinates):
Sr (0.000, 0.000, 0.000)
Pt (0.500, 0.500, 0.500)
Ni (0.250, 0.250, 0.250)
Ni (0.750, 0.750, 0.750)

Values from the calculation:
Space-group type ... Fm-3m (225)
VASP energy ... -4.703 eV per atom
Total moment ... 0.000 μB per atom
Calculated formation energy ... 118.1 meV per atom


Record 9
Entry from the Alexandria database: a relaxed structure of SrNi2Pt (GGA-PBE).

Lattice parameters (Å, degrees): 4.261 4.261 5.653 67.76 67.76 60.02
Atoms (fractional coordinates):
Sr (0.750, 0.750, 0.750)
Pt (0.250, 0.250, 0.250)
Ni (0.936, 0.936, 0.192)
Ni (0.564, 0.564, 0.308)

Values from the calculation:
Space-group type ... C2/m (12)
VASP energy ... -5.164 eV per atom
Total moment ... 0.000 μB per atom
Calculated formation energy ... -342.7 meV per atom


Record 10
Entry from the Alexandria database: a relaxed structure of SrNi2Pt (GGA-PBE).

Lattice parameters (Å, degrees): 3.893 3.547 5.568 71.32 90.00 90.00
Each line ends with the local moment (μB).
Atoms (fractional coordinates):
Ni (0.000, 0.170, 0.037)  0.14
Ni (0.500, 0.045, 0.283)  0.14
Pt (0.000, 0.496, 0.383)  0.05
Sr (0.500, 0.790, 0.797)  -0.01

Values from the calculation:
Space-group type ... Pm (6)
VASP energy ... -4.754 eV per atom
Total moment ... 0.073 μB per atom
Calculated formation energy ... 67.6 meV per atom